# 1
The following is a DFT calculation (PBE) of BeW2Se after structural relaxation.

Geometry as POSCAR:
```
BeW2Se
1.0
3.881 -0.106 1.856
0.331 -0.245 4.283
1.404 -3.624 1.845
Be Se W
1 1 2
Direct
0.000 0.000 0.000
0.500 0.500 0.500
0.250 0.250 0.250
0.750 0.750 0.750
```

Properties
Total energy in eV per cell: -30.76
Excess energy over the best structure of this formula in the dataset in meV per atom: 401
Energy relative to the elements, uncorrected in eV/f.u.: 2.4

=====

# 2
The following is a DFT calculation (PBE) of Pm2ErNpP4 after structural relaxation.

Geometry as POSCAR:
```
Pm2ErNpP4
1.0
4.037 0.000 0.000
0.000 6.989 0.127
0.000 -2.437 6.573
Pm Er Np P
2 1 1 4
Direct
0.500 0.000 0.500
0.000 0.500 0.500
0.500 0.500 0.000
0.000 0.000 0.000
0.500 0.243 0.236
0.500 0.757 0.764
0.000 0.251 0.763
0.000 0.749 0.237
```

Properties
Total energy in eV per cell: -59.78
Formation energy in eV per atom: -1.3918

=====

# 3
The following is a DFT calculation (PBE) of SmP2Ru4 after structural relaxation.

Geometry as POSCAR:
```
SmP2Ru4
1.0
-0.537 -3.743 -0.427
7.435 -1.107 0.346
-0.465 -0.786 7.469
Sm P Ru
2 4 8
Direct
0.500 0.000 0.000
0.000 0.500 0.500
0.000 0.225 0.775
0.000 0.775 0.225
0.500 0.725 0.725
0.500 0.275 0.275
0.000 0.074 0.338
0.000 0.926 0.662
0.500 0.162 0.574
0.500 0.838 0.426
0.500 0.426 0.838
0.500 0.574 0.162
0.000 0.338 0.074
0.000 0.662 0.926
```

Properties
Total energy in eV per cell: -114.90
Excess energy over the best structure of this formula in the dataset in meV per atom: 0
Formation energy in eV per atom: -0.6866

=====

# 4
The following is a DFT calculation (PBE) of CaSn2Au2 after structural relaxation.

Geometry as POSCAR:
```
CaSn2Au2
1.0
-4.119 -1.853 -6.375
-6.083 -1.953 4.498
-1.342 3.699 -0.208
Ca Au Sn
2 4 4
Direct
0.000 0.000 0.000
0.500 0.500 0.000
0.370 0.870 0.000
0.870 0.630 0.000
0.630 0.130 0.000
0.130 0.370 0.000
0.175 0.675 0.500
0.675 0.825 0.500
0.825 0.325 0.500
0.325 0.175 0.500
```

Properties
Total energy in eV per cell: -36.95
Formation energy in eV per atom: -0.3825

=====

# 5
The following is a DFT calculation (PBE) of K2Hf2AlSe6 after structural relaxation.

Geometry as POSCAR:
```
K2Hf2AlSe6
1.0
-0.732 6.282 -2.221
-0.589 -5.156 -4.243
-7.222 -0.751 3.737
K Hf Al Se
2 2 1 6
Direct
0.832 0.168 0.000
0.168 0.832 0.000
0.332 0.668 0.500
0.668 0.332 0.500
0.000 0.000 0.500
0.740 0.740 0.687
0.068 0.391 0.690
0.260 0.260 0.313
0.391 0.068 0.690
0.932 0.609 0.310
0.609 0.932 0.310
```

Properties
Total energy in eV per cell: -60.38
Energy relative to the elements, uncorrected in eV/f.u.: -13.6

=====

# 6
The following is a DFT calculation (PBE) of InCo2Pb after structural relaxation.

Geometry as POSCAR:
```
InCo2Pb
1.0
7.037 0.000 0.000
0.000 7.037 0.000
3.518 3.518 2.983
Pb Co In
2 4 2
Direct
0.000 0.000 0.000
0.750 0.250 0.500
0.622 0.125 0.250
0.128 0.625 0.250
0.375 0.378 0.750
0.875 0.872 0.750
0.500 0.500 0.000
0.250 0.750 0.500
```

Properties
Total energy in eV per cell: -35.48
Excess energy over the best structure of this formula in the dataset in meV per atom: 448
Formation energy in eV per atom: 0.7290

=====

# 7
The following is a DFT calculation (PBE) of Mg2OsCl after structural relaxation.

Geometry as POSCAR:
```
Mg2OsCl
1.0
-5.337 1.547 2.137
-5.319 -1.014 -2.475
5.172 -2.569 1.447
Cl Mg Os
1 2 1
Direct
0.750 0.250 0.500
0.000 0.000 0.000
0.250 0.750 0.500
0.500 0.500 0.000
```

Properties
Total energy in eV per cell: -14.65
Excess energy over the best structure of this formula in the dataset in meV per atom: 703
Energy relative to the elements, uncorrected in eV/f.u.: 1.6